Record 1
DFT (GGA-PBE) results for an optimized crystal structure of Pu2Si2Sn.

Summary:
energy = -45.59 eV per cell
spin magnetization = 11.200 μB/f.u.
crystal system = orthorhombic

extended XYZ file:
```
5
Lattice="1.939 -7.013 0.000 1.939 7.013 0.000 0.000 0.000 4.051" Properties=species:S:1:pos:R:3 pbc="T T T"
Pu 1.939 5.179 0.000
Pu 1.939 -5.179 0.000
Si 1.939 2.833 2.026
Si 1.939 -2.833 2.026
Sn 1.939 0.000 2.026
```

---

Record 2
DFT (GGA-PBE) results for an optimized crystal structure of MgMo2Cl.

Summary:
energy = -20.33 eV per cell
excess energy over the best structure of this formula in the dataset = 1230 meV/atom
spin magnetization = 1.045 μB/f.u.
crystal system = cubic

extended XYZ file:
```
4
Lattice="0.000 3.204 3.204 3.204 0.000 3.204 3.204 3.204 0.000" Properties=species:S:1:pos:R:3 pbc="T T T"
Mg 0.000 0.000 0.000
Mo 1.602 1.602 1.602
Mo 4.806 4.806 4.806
Cl 3.204 3.204 3.204
```